KRhF2: optimized geometry, PBEsol.

symmetry: R-3m
uncorrected energy: -4.681 eV/atom
uncorrected formation energy: -1.40 eV/atom

Structure (extended XYZ):
```
4
Lattice="-2.9183 0.3884 0.5626 -2.0505 -1.3455 -1.7230 -1.5724 -6.2221 4.1230" Properties=species:S:1:pos:R:3 pbc="T T T"
K -3.2706 -3.5896 1.4813
Rh 0.0000 0.0000 0.0000
F -4.9465 -2.5258 0.0381
F -1.5947 -4.6534 2.9245
```

=====

K2SbRhF: optimized geometry, PBEsol.

symmetry: P4/mmm
uncorrected energy: -3.791 eV/atom
uncorrected formation energy: -0.41 eV/atom

Structure (extended XYZ):
```
5
Lattice="4.8309 0.0000 0.0000 0.0000 6.0287 0.0000 0.0000 0.0000 6.0287" Properties=species:S:1:pos:R:3 pbc="T T T"
Sb 2.4154 0.0000 0.0000
K 0.0000 0.0000 3.0143
K 0.0000 3.0143 0.0000
Rh 0.0000 0.0000 0.0000
F 2.4154 3.0143 3.0143
```

=====

K2TlRhF6: optimized geometry, PBEsol.

symmetry: Fm-3m
uncorrected energy: -4.562 eV/atom
uncorrected formation energy: -2.10 eV/atom

Structure (extended XYZ):
```
10
Lattice="-2.2739 0.3556 5.9119 1.9246 -4.1517 4.3939 3.7634 1.9104 4.7365" Properties=species:S:1:pos:R:3 pbc="T T T"
K 2.5605 -1.4143 11.2818
K 0.8535 -0.4714 3.7606
Tl 1.7070 -0.9428 7.5212
Rh 0.0000 0.0000 0.0000
F -0.5181 -0.2171 6.6217
F 0.5576 -2.5376 9.0776
F 3.9321 -1.6686 8.4207
F 1.5854 0.8507 9.2691
F 1.8286 -2.7364 5.7732
F 2.8564 0.6519 5.9647
```

=====

KRu3F: optimized geometry, PBEsol.

symmetry: Pm-3m
uncorrected energy: -5.126 eV/atom
offset from the most stable computed form: 0.000 eV per atom
uncorrected formation energy: 1.59 eV/atom

Structure (extended XYZ):
```
5
Lattice="4.4349 0.0000 0.0000 0.0000 4.4349 0.0000 0.0000 0.0000 4.4349" Properties=species:S:1:pos:R:3 pbc="T T T"
Ru 0.0000 2.2175 0.0000
Ru 0.0000 0.0000 2.2175
Ru 2.2175 0.0000 0.0000
K 2.2175 2.2175 2.2175
F 0.0000 0.0000 0.0000
```

=====

KRuF6: optimized geometry, PBEsol.

symmetry: R-3m
uncorrected energy: -4.997 eV/atom
uncorrected formation energy: -2.14 eV/atom

Structure (extended XYZ):
```
8
Lattice="4.9812 -0.0047 -0.0055 -0.6871 4.9336 -0.0055 -0.6871 -0.7887 4.8701" Properties=species:S:1:pos:R:3 pbc="T T T"
Ru 0.0000 0.0000 0.0000
K 1.8035 2.0701 2.4295
F 0.5139 4.3226 1.2925
F 0.5139 0.5899 4.4730
F 3.0931 3.5503 0.3861
F 3.0931 -0.1824 3.5666
F -0.6044 3.0389 3.5666
F 4.2114 1.1013 1.2925
```

=====

KRu3F: optimized geometry, PBEsol.

symmetry: Pm-3m
uncorrected energy: -3.580 eV/atom
offset from the most stable computed form: 1.546 eV per atom
uncorrected formation energy: 3.14 eV/atom

Structure (extended XYZ):
```
5
Lattice="-1.7154 2.7229 3.3513 -3.3501 -3.1144 0.8157 2.7244 -2.1153 3.1131" Properties=species:S:1:pos:R:3 pbc="T T T"
Ru -1.6751 -1.5572 0.4078
Ru 1.3622 -1.0576 1.5566
Ru -0.8577 1.3615 1.6757
K 0.0000 0.0000 0.0000
F -1.1705 -1.2534 3.6400
```

=====

KSnRuF2: optimized geometry, PBEsol.

symmetry: P4/mmm
uncorrected energy: -3.834 eV/atom
uncorrected formation energy: 0.05 eV/atom

Structure (extended XYZ):
```
5
Lattice="-3.2170 -3.0904 0.3176 1.8496 -2.2727 -3.3785 4.2082 -3.8759 4.9110" Properties=species:S:1:pos:R:3 pbc="T T T"
Ru 1.4204 -4.6195 0.9251
K 2.1041 -1.9379 2.4555
Sn 0.0000 0.0000 0.0000
F 0.9248 -1.1363 -1.6893
F -1.6085 -1.5452 0.1588
```

=====

K2TlRuF6: optimized geometry, PBEsol.

symmetry: Fm-3m
uncorrected energy: -4.735 eV/atom
uncorrected formation energy: -2.07 eV/atom

Structure (extended XYZ):
```
10
Lattice="6.3920 0.0000 0.0000 3.1960 5.5356 0.0000 3.1960 1.8452 5.2190" Properties=species:S:1:pos:R:3 pbc="T T T"
K 3.1960 1.8452 1.3048
K 9.5879 5.5356 3.9143
Tl 6.3920 3.6904 2.6095
Ru 0.0000 0.0000 0.0000
F 8.1809 4.7233 1.1488
F 6.3920 5.7561 4.0702
F 4.6030 2.6575 4.0702
F 8.1809 2.6575 4.0702
F 4.6030 4.7233 1.1488
F 6.3920 1.6247 1.1488
```